[1]
KV2P2H4O13 | GGA+U | optimized geometry

The structure in CIF format:
```
data_KV2P2H4O13
_symmetry_space_group_name_H-M 'P -1'
_symmetry_Int_Tables_number 2
_cell_length_a 6.299
_cell_length_b 6.321
_cell_length_c 6.861
_cell_angle_alpha 84.96
_cell_angle_beta 78.80
_cell_angle_gamma 89.73
loop_
_symmetry_equiv_pos_as_xyz
'x,y,z'
'-x,-y,-z'
loop_
_atom_site_label
_atom_site_fract_x
_atom_site_fract_y
_atom_site_fract_z
K1 0.000 0.000 0.000
V1 0.277 0.254 0.398
P1 0.250 0.750 0.502
H1 0.186 0.398 0.030
H2 0.451 0.324 0.982
O1 0.000 0.500 0.000
O2 0.023 0.740 0.638
O3 0.227 0.223 0.640
O4 0.278 0.953 0.354
O5 0.289 0.563 0.369
O6 0.314 0.296 0.075
O7 0.411 0.749 0.647
```

For the total DFT energy (no corrections), the calculation gives -6.40 eV/atom. Its density is 2.58 g/cm3.


[2]
K2V3P4H4O19 | GGA+U | optimized geometry

The structure in CIF format:
```
data_K2V3P4H4O19
_symmetry_space_group_name_H-M 'P -1'
_symmetry_Int_Tables_number 2
_cell_length_a 8.730
_cell_length_b 9.370
_cell_length_c 10.721
_cell_angle_alpha 89.87
_cell_angle_beta 66.60
_cell_angle_gamma 89.81
loop_
_symmetry_equiv_pos_as_xyz
'x,y,z'
'-x,-y,-z'
loop_
_atom_site_label
_atom_site_fract_x
_atom_site_fract_y
_atom_site_fract_z
K1 0.238 0.174 0.000
K2 0.248 0.384 0.498
V1 0.192 0.753 0.668
V2 0.237 0.746 0.990
V3 0.324 0.749 0.289
P1 0.033 0.951 0.262
P2 0.117 0.501 0.229
P3 0.383 0.505 0.768
P4 0.464 0.953 0.738
H1 0.112 0.424 0.854
H2 0.234 0.064 0.644
H3 0.268 0.060 0.351
H4 0.387 0.419 0.142
O1 0.004 0.113 0.268
O2 0.037 0.589 0.698
O3 0.092 0.587 0.115
O4 0.092 0.899 0.114
O5 0.139 0.125 0.647
O6 0.139 0.740 0.881
O7 0.140 0.600 0.336
O8 0.161 0.916 0.324
O9 0.232 0.396 0.829
O10 0.248 0.762 0.497
O11 0.268 0.392 0.166
O12 0.341 0.918 0.671
O13 0.360 0.740 0.120
O14 0.363 0.123 0.348
O15 0.364 0.604 0.660
O16 0.397 0.901 0.887
O17 0.405 0.591 0.883
O18 0.463 0.587 0.303
O19 0.490 0.115 0.734
```

For the total DFT energy (no corrections), the calculation gives -6.79 eV/atom. Its density is 2.74 g/cm3.